(1)
Be2CuIr: relaxed, PBEsol.

The calculated formation energy comes out at -59 meV per atom. As for the symmetry: Cmmm. The distance to the lowest polymorph of the same formula is 7.925 kcal/mol of atoms. The crystal system is orthorhombic. The electronic total energy comes out at -5.5984 eV/atom.

a = 2.5832 Å, b = 2.5832 Å, c = 7.2470 Å
α = 90.00°, β = 90.00°, γ = 114.63°
Closest atoms and distances in Å follow each position.
Fractional positions:
1 Be 0.0000 0.0000 0.2480  2 Cu 2.27, 2 Ir 2.30
2 Be 0.0000 0.0000 0.7520  2 Cu 2.27, 2 Ir 2.30
3 Cu 0.5000 0.5000 0.0000  4 Be 2.27
4 Ir 0.5000 0.5000 0.5000  4 Be 2.30

***

(2)
La2BeCuIr: relaxed, PBEsol.

The calculated formation energy comes out at 237 meV per atom. As for the symmetry: P4/mmm. The crystal system is tetragonal. The electronic total energy comes out at -5.5333 eV/atom.

a = 5.2637 Å, b = 5.2637 Å, c = 3.9903 Å
α = 90.00°, β = 90.00°, γ = 90.00°
Closest atoms and distances in Å follow each position.
Fractional positions:
1 La 0.0000 0.5000 0.0000  2 Cu 2.63
2 La 0.5000 0.0000 0.0000  2 Cu 2.63
3 Be 0.0000 0.0000 0.5000  2 Cu 2.00
4 Cu 0.0000 0.0000 0.0000  2 Be 2.00
5 Ir 0.5000 0.5000 0.5000  8 La 3.30

***

> Among the records above, which one has the lowest electronic total energy?

Be2CuIr

***

Please write out number 1 again, unchanged.
Be2CuIr: relaxed, PBEsol.

The calculated formation energy comes out at -59 meV per atom. As for the symmetry: Cmmm. The distance to the lowest polymorph of the same formula is 7.925 kcal/mol of atoms. The crystal system is orthorhombic. The electronic total energy comes out at -5.5984 eV/atom.

a = 2.5832 Å, b = 2.5832 Å, c = 7.2470 Å
α = 90.00°, β = 90.00°, γ = 114.63°
Closest atoms and distances in Å follow each position.
Fractional positions:
1 Be 0.0000 0.0000 0.2480  2 Cu 2.27, 2 Ir 2.30
2 Be 0.0000 0.0000 0.7520  2 Cu 2.27, 2 Ir 2.30
3 Cu 0.5000 0.5000 0.0000  4 Be 2.27
4 Ir 0.5000 0.5000 0.5000  4 Be 2.30

***

Copy entry 2 word for word.
La2BeCuIr: relaxed, PBEsol.

The calculated formation energy comes out at 237 meV per atom. As for the symmetry: P4/mmm. The crystal system is tetragonal. The electronic total energy comes out at -5.5333 eV/atom.

a = 5.2637 Å, b = 5.2637 Å, c = 3.9903 Å
α = 90.00°, β = 90.00°, γ = 90.00°
Closest atoms and distances in Å follow each position.
Fractional positions:
1 La 0.0000 0.5000 0.0000  2 Cu 2.63
2 La 0.5000 0.0000 0.0000  2 Cu 2.63
3 Be 0.0000 0.0000 0.5000  2 Cu 2.00
4 Cu 0.0000 0.0000 0.0000  2 Be 2.00
5 Ir 0.5000 0.5000 0.5000  8 La 3.30